1.
Density functional theory data (PBE-GGA) for an optimized crystal structure of Na6ScCl8.

Lattice parameters (Å, degrees): 11.3709 11.3709 11.3709 90.00 90.00 90.00
Closest atoms and distances in Å follow each position.
Space group Fm-3m (No. 225)
Symmetry-distinct sites (fractional):
Na1 0.0000 0.2500 0.2500 x24  6 Cl 2.84-2.85
Sc1 0.0000 0.0000 0.0000 x4  6 Cl 2.63
Cl1 0.0000 0.0000 0.2314 x24  1 Sc 2.63, 4 Na 2.85
Cl2 0.2500 0.2500 0.2500 x8  6 Na 2.84

Summary:
E_tot: -223.56 eV for the cell shown
Energy relative to the elements, uncorrected: -1.791 eV per atom
V: 24.50 Å³ per atom

***

2.
Density functional theory data (PBE-GGA) for an optimized crystal structure of RhSe2IN.

Lattice parameters (Å, degrees): 5.4253 5.4253 3.8587 90.00 90.00 90.00
Closest atoms and distances in Å follow each position.
Space group P4/mmm (No. 123)
Symmetry-distinct sites (fractional):
Rh1 0.0000 0.0000 0.0000 x1  8 Se 3.33
Se1 0.0000 0.5000 0.5000 x2  2 I 2.71
I1 0.5000 0.5000 0.5000 x1  2 N 1.93
N1 0.5000 0.5000 0.0000 x1  2 I 1.93

Summary:
Excess energy over the best structure of this formula in the dataset: 1110 meV/atom
E_tot: -15.86 eV for the cell shown
Energy relative to the elements, uncorrected: 1.667 eV per atom
V: 22.72 Å³ per atom

***

3.
Density functional theory data (PBE-GGA) for an optimized crystal structure of Ti5NbZn6.

Lattice parameters (Å, degrees): 4.0082 7.7859 12.0390 90.00 90.00 90.00
Closest atoms and distances in Å follow each position.
Space group Immm (No. 71)
Symmetry-distinct sites (fractional):
Ti1 0.0000 0.0000 0.0000 x2  8 Zn 2.77-2.80, 4 Ti 2.85
Ti2 0.0000 0.0000 0.3368 x4  8 Zn 2.79-2.81, 2 Nb 2.81, 2 Ti 2.85
Ti3 0.0000 0.5000 0.3317 x4  8 Zn 2.78-2.79, 4 Ti 2.85
Nb1 0.0000 0.5000 0.0000 x2  4 Ti 2.81, 8 Zn 2.82
Zn1 0.0000 0.2478 0.1683 x8  7 Ti 2.78-2.81, 4 Zn 2.81-2.85, 1 Nb 2.82
Zn2 0.0000 0.2544 0.5000 x4  6 Ti 2.77-2.79, 2 Nb 2.82, 4 Zn 2.85

Summary:
E_form: -0.18 eV/atom
E_tot: -118.66 eV for the cell shown
V: 15.65 Å³ per atom